The following is a DFT calculation (PBE+U) of a relaxed structure of Li2NiF.

abc: 5.7250 5.7250 5.3967
angles: 57.97 57.97 90.00
Last column: nearest neighbours and their distance in Å.
Fractional coordinates of all 8 atoms:
1 Ni 0.0000 0.0000 0.0000  4 Li 2.70
2 Ni 0.7500 0.2500 0.5000  4 Li 2.70
3 F 0.2500 0.7500 0.5000  4 Li 1.85
4 F 0.5000 0.5000 0.0000  4 Li 1.85
5 Li 0.8750 0.7559 0.7500  2 F 1.85
6 Li 0.2441 0.6250 0.2500  2 F 1.85
7 Li 0.5059 0.1250 0.2500  2 F 1.85
8 Li 0.3750 0.4941 0.7500  2 F 1.85

Calculated values
VASP energy = -24.5 eV per cell
total magnetic moment = 0.255 μB per atom
theoretical density = 2.60 g/cm3